The following is a DFT calculation (GGA-PBE) of an optimized crystal structure of MgCoAs2Os.

Summary:
density of states at the Fermi level = 3.8 states/eV/f.u.
SG = P4/mmm, No. 123
formation energy from the elements = 0.70 eV/atom
calculated density = 6.712 Mg/m³
calculated volume = 20.944 Å³/atom

The structure in extended XYZ format:
```
5
Lattice="-4.427 1.072 1.302 -0.977 -4.544 0.420 1.364 0.126 4.534" Properties=species:S:1:pos:R:3 pbc="T T T"
Co -0.488 -2.272 0.210
As 0.682 0.063 2.267
As -2.213 0.536 0.651
Os 0.000 0.000 0.000
Mg -2.019 -1.673 3.128
```